DFT (PBE) results for an optimized crystal structure of Sm3Be2SnPd9.

Cell lengths 5.9512, 5.9512, 9.3495 Å; angles 90.00, 90.00, 120.00 degrees
Space group P-3m1 (No. 164)
Asymmetric unit:
Sm: 0.0000 0.0000 0.0000
Sm: 0.3333 0.6667 0.6864
Be: 0.3333 0.6667 0.1448
Sn: 0.0000 0.0000 0.5000
Pd: 0.0000 0.5000 0.0000
Pd: 0.1621 0.3241 0.2765

Results
* E: -82.05 eV for the cell shown

DFT (PBE) results for an optimized crystal structure of ScAgSb2.

Cell lengths 3.3733, 3.3733, 28.4877 Å; angles 90.00, 90.00, 120.00 degrees
Space group R-3m (No. 166, hexagonal axes)
Asymmetric unit:
Sc: 0.0000 0.0000 0.0000
Ag: 0.0000 0.0000 0.5000
Sb: 0.0000 0.0000 0.2502

Results
* ΔE_f (raw): -184 meV per atom

DFT (PBE) results for an optimized crystal structure of CaRhCl.

Cell lengths 9.947, 3.789, 7.077 Å; angles 90.00, 91.35, 90.00 degrees
Space group Cm (No. 8)
Asymmetric unit:
Ca: 0.000 0.000 0.000
Ca: 0.144 0.500 0.407
Rh: 0.342 0.000 0.220
Rh: 0.429 0.500 0.443
Cl: 0.221 0.500 0.015
Cl: 0.454 0.000 0.691

Results
* energy relative to the lowest polymorph listed for this composition: 264.1 meV/atom
* ΔE_f (raw): -911 meV per atom

DFT (PBE) results for an optimized crystal structure of LiSbW4.

Cell lengths 7.592, 7.592, 7.592 Å; angles 90.00, 90.00, 90.00 degrees
Space group F-43m (No. 216)
Asymmetric unit:
Li: 0.000 0.000 0.000
Sb: 0.250 0.250 0.750
W: 0.127 0.127 0.373

Results
* ΔE_f (raw): 691 meV per atom

DFT (PBE) results for an optimized crystal structure of SrFe3Au.

Cell lengths 4.677, 4.677, 4.677 Å; angles 90.00, 90.00, 90.00 degrees
Space group Pm-3m (No. 221)
Asymmetric unit:
Sr: 0.000 0.000 0.000
Fe: 0.000 0.000 0.500
Au: 0.500 0.500 0.500

Results
* E: -19.50 eV for the cell shown

DFT (PBE) results for an optimized crystal structure of ReGeAs2Br.

Cell lengths 4.984, 4.984, 4.978 Å; angles 90.00, 90.00, 90.00 degrees
Space group P4/mmm (No. 123)
Asymmetric unit:
Re: 0.000 0.000 0.000
Ge: 0.500 0.500 0.500
As: 0.000 0.500 0.500
Br: 0.500 0.500 0.000

Results
* energy relative to the lowest polymorph listed for this composition: 812.7 meV/atom
* ΔE_f (raw): 1492 meV per atom

DFT (PBE) results for an optimized crystal structure of Er2ZnW.

Cell lengths 3.0853, 3.0853, 32.1662 Å; angles 90.00, 90.00, 120.00 degrees
Space group R-3m (No. 166, hexagonal axes)
Asymmetric unit:
Er: 0.0000 0.0000 0.0886
Zn: 0.0000 0.0000 0.5000
W: 0.0000 0.0000 0.0000

Results
* E: -61.87 eV for the cell shown

DFT (PBE) results for an optimized crystal structure of RbCrPd3.

Cell lengths 5.051, 5.051, 5.051 Å; angles 90.00, 90.00, 90.00 degrees
Space group Pm-3m (No. 221)
Asymmetric unit:
Rb: 0.000 0.000 0.000
Cr: 0.500 0.500 0.500
Pd: 0.000 0.000 0.500

Results
* energy relative to the lowest polymorph listed for this composition: 1550.1 meV/atom

DFT (PBE) results for an optimized crystal structure of PrDy2Ga.

Cell lengths 4.799, 4.799, 4.748 Å; angles 90.00, 90.00, 90.00 degrees
Space group P4/mmm (No. 123)
Asymmetric unit:
Pr: 0.000 0.000 0.000
Dy: 0.000 0.500 0.500
Ga: 0.500 0.500 0.000

Results
* energy relative to the lowest polymorph listed for this composition: 56.9 meV/atom

DFT (PBE) results for an optimized crystal structure of LiZrS2Cl.

Cell lengths 4.567, 4.567, 4.181 Å; angles 90.00, 90.00, 90.00 degrees
Space group P4/mmm (No. 123)
Asymmetric unit:
Li: 0.000 0.000 0.000
Zr: 0.500 0.500 0.500
S: 0.000 0.500 0.000
Cl: 0.000 0.000 0.500

Results
* energy relative to the lowest polymorph listed for this composition: 721.3 meV/atom
* ΔE_f (raw): -478 meV per atom

DFT (PBE) results for an optimized crystal structure of SnIrAu.

Cell lengths 3.226, 3.023, 11.731 Å; angles 90.00, 90.00, 90.00 degrees
Space group Amm2 (No. 38)
Asymmetric unit:
Sn: 0.000 0.000 0.000
Ir: 0.500 0.000 0.634
Au: 0.000 0.000 0.299

Results
* energy relative to the lowest polymorph listed for this composition: 98.6 meV/atom

DFT (PBE) results for an optimized crystal structure of KRbBiAu2.

Cell lengths 6.112, 6.112, 6.434 Å; angles 90.00, 90.00, 90.00 degrees
Space group P4/mmm (No. 123)
Asymmetric unit:
K: 0.000 0.000 0.000
Rb: 0.500 0.500 0.500
Bi: 0.000 0.000 0.500
Au: 0.000 0.500 0.000

Results
* E: -10.09 eV for the cell shown